1.
K2CaAg2I6: relaxed, PBE.

Cell lengths 14.9199, 8.6932, 8.4612 Å; angles 90.00, 120.20, 90.00 degrees
Closest atoms and distances in Å follow each position.
Space group C2/m (No. 12)
Symmetry-distinct sites (fractional):
K 0.2408 0.0000 0.1858 x4  5 I 3.49-3.62
Ca 0.0000 0.0000 0.5000 x2  6 I 3.14-3.16
Ag 0.0545 0.5000 0.2099 x4  3 I 2.76-2.81, 1 Ag 3.07
I 0.0678 0.2455 0.8155 x8  1 Ag 2.81
I 0.2316 0.0000 0.5894 x4  1 Ag 2.76

The density of states at the Fermi level comes out at 0.000 states/eV/cell. The calculation puts the total energy at -30.4 eV/f.u. The crystal system is monoclinic. The raw formation energy is -1.021 eV per atom.

2.
NpHgI3: relaxed, PBE.

Cell lengths 6.1648, 6.1648, 6.1648 Å; angles 90.00, 90.00, 90.00 degrees
Closest atoms and distances in Å follow each position.
Space group Pm-3m (No. 221)
Symmetry-distinct sites (fractional):
Np 0.0000 0.0000 0.0000 x1  6 I 3.08
Hg 0.5000 0.5000 0.5000 x1  12 I 4.36
I 0.0000 0.0000 0.5000 x3  2 Np 3.08

The density of states at the Fermi level comes out at 9.703 states/eV/cell. The calculation puts the total energy at -20.8 eV/f.u. The crystal system is cubic. The raw formation energy is -0.575 eV per atom.

3.
TaSiN2F: relaxed, PBE.

Cell lengths 3.7713, 3.7713, 3.3739 Å; angles 90.00, 90.00, 90.00 degrees
Closest atoms and distances in Å follow each position.
Space group P4/mmm (No. 123)
Symmetry-distinct sites (fractional):
Ta 0.0000 0.0000 0.0000 x1  8 N 2.53, 4 F 2.67
Si 0.5000 0.5000 0.5000 x1  2 F 1.69, 4 N 1.89
N 0.0000 0.5000 0.5000 x2  2 Si 1.89
F 0.5000 0.5000 0.0000 x1  2 Si 1.69

The density of states at the Fermi level comes out at 1.496 states/eV/cell. The calculation puts the total energy at -36.9 eV/f.u. The crystal system is tetragonal. The raw formation energy is -0.222 eV per atom.

4.
GaNiPd4: relaxed, PBE.

Cell lengths 5.9202, 5.9202, 5.3910 Å; angles 90.00, 90.00, 90.00 degrees
Closest atoms and distances in Å follow each position.
Space group P-42c (No. 112)
Symmetry-distinct sites (fractional):
Ga 0.0000 0.5000 0.2500 x2  8 Pd 2.53-2.64
Ni 0.0000 0.0000 0.0000 x2  4 Pd 2.46, 2 Ni 2.70
Pd 0.2470 0.3195 0.8931 x8  1 Ni 2.46, 2 Ga 2.53-2.64, 1 Pd 2.64

The density of states at the Fermi level comes out at 17.637 states/eV/cell. The calculation puts the total energy at -29.8 eV/f.u. The energy relative to the elements comes out at -0.032 eV/atom. The crystal system is tetragonal.

5.
LiIrPb2O4: relaxed, PBE.

Cell lengths 5.6070, 11.8237, 20.0479 Å; angles 90.00, 90.00, 90.00 degrees
Closest atoms and distances in Å follow each position.
Space group Fddd (No. 70, origin choice 2)
Symmetry-distinct sites (fractional):
Li 0.1250 0.1250 0.1250 x8  4 O 2.02
Ir 0.1250 0.1250 0.6250 x8  4 O 1.96
Pb 0.1250 0.1250 0.4406 x16  2 O 2.21
O 0.1171 0.2573 0.8871 x32  1 Ir 1.96, 1 Li 2.02

The density of states at the Fermi level comes out at 33.083 states/eV/cell. The calculation puts the total energy at -44.7 eV/f.u. The crystal system is orthorhombic. The raw formation energy is -0.839 eV per atom.

6.
BaZn6Cu2: relaxed, PBE.

Cell lengths 4.2712, 7.4667, 11.4477 Å; angles 90.00, 90.00, 90.00 degrees
Closest atoms and distances in Å follow each position.
Space group Immm (No. 71)
Symmetry-distinct sites (fractional):
Ba 0.0000 0.0000 0.0000 x2  8 Zn 3.30-3.51
Zn 0.0000 0.1637 0.5000 x4  3 Zn 2.45-2.49
Zn 0.0000 0.1817 0.2832 x8  4 Zn 2.49-2.71, 3 Cu 2.56-2.64
Cu 0.0000 0.5000 0.1831 x4  6 Zn 2.56-2.64

The density of states at the Fermi level comes out at 7.608 states/eV/cell. The calculation puts the total energy at -17.6 eV/f.u. The energy relative to the elements comes out at 0.018 eV/atom. The crystal system is orthorhombic.

7.
Na3TaOs: relaxed, PBE.

Cell lengths 5.7882, 5.7882, 5.7882 Å; angles 90.00, 90.00, 90.00 degrees
Closest atoms and distances in Å follow each position.
Space group Pm-3m (No. 221)
Symmetry-distinct sites (fractional):
Na 0.0000 0.0000 0.5000 x3  2 Ta 2.89
Ta 0.0000 0.0000 0.0000 x1  6 Na 2.89
Os 0.5000 0.5000 0.5000 x1  12 Na 4.09

The density of states at the Fermi level comes out at 13.809 states/eV/cell. The calculation puts the total energy at -13.4 eV/f.u. The energy relative to the elements comes out at 2.722 eV/atom. The crystal system is cubic.

8.
Tl3GeSb2Te6: relaxed, PBE.

Cell lengths 7.6023, 13.2828, 8.2673 Å; angles 90.00, 108.04, 90.00 degrees
Closest atoms and distances in Å follow each position.
Space group C2/m (No. 12)
Symmetry-distinct sites (fractional):
Tl 0.0000 0.0000 0.0000 x2  6 Te 3.36-3.41
Tl 0.0000 0.3273 0.0000 x4  6 Te 3.35-3.40
Ge 0.0000 0.5000 0.5000 x2  6 Te 3.02
Sb 0.0000 0.1653 0.5000 x4  6 Te 3.09-3.11
Te 0.2343 0.3373 0.7177 x8  1 Ge 3.02, 2 Sb 3.09-3.11, 3 Tl 3.35-3.37
Te 0.2483 0.0000 0.7201 x4  1 Ge 3.02, 2 Sb 3.09

The density of states at the Fermi level comes out at 15.972 states/eV/cell. The calculation puts the total energy at -41.1 eV/f.u. The crystal system is monoclinic. The raw formation energy is -0.188 eV per atom.

9.
DyPu2Ru3: relaxed, PBE.

Cell lengths 4.8707, 14.2607, 3.3570 Å; angles 90.00, 90.00, 90.00 degrees
Closest atoms and distances in Å follow each position.
Space group Cmmm (No. 65)
Symmetry-distinct sites (fractional):
Dy 0.0000 0.0000 0.0000 x2  8 Ru 2.96-3.01
Pu 0.0000 0.3353 0.0000 x4  8 Ru 2.83-2.96
Ru 0.0000 0.1755 0.5000 x4  6 Pu 2.83-2.96, 2 Dy 3.01
Ru 0.0000 0.5000 0.5000 x2  4 Pu 2.89, 4 Dy 2.96

The density of states at the Fermi level comes out at 22.869 states/eV/cell. The calculation puts the total energy at -62.4 eV/f.u. The energy relative to the elements comes out at -0.218 eV/atom. The crystal system is orthorhombic.

10.
Rb2NaH4Pd: relaxed, PBE.

Cell lengths 5.6072, 12.4162, 22.6594 Å; angles 90.00, 90.00, 90.00 degrees
Closest atoms and distances in Å follow each position.
Space group Fddd (No. 70, origin choice 2)
Symmetry-distinct sites (fractional):
Rb 0.1250 0.1250 0.3004 x16  2 H 2.76
Na 0.1250 0.1250 0.1250 x8  4 H 2.16
H 0.0682 0.2735 0.8599 x32  1 Pd 1.70
Pd 0.1250 0.1250 0.6250 x8  4 H 1.70

The density of states at the Fermi level comes out at 16.578 states/eV/cell. The calculation puts the total energy at -22.8 eV/f.u. The crystal system is orthorhombic.

11.
Y2MgSn: relaxed, PBE.

Cell lengths 3.8806, 3.8806, 7.1084 Å; angles 90.00, 90.00, 90.00 degrees
Closest atoms and distances in Å follow each position.
Space group P4/mmm (No. 123)
Symmetry-distinct sites (fractional):
Y 0.0000 0.0000 0.2485 x2  4 Sn 3.26, 4 Mg 3.28, 2 Y 3.53-3.58
Mg 0.5000 0.5000 0.5000 x1  8 Y 3.28, 2 Sn 3.55
Sn 0.5000 0.5000 0.0000 x1  8 Y 3.26, 2 Mg 3.55

The density of states at the Fermi level comes out at 2.042 states/eV/cell. The calculation puts the total energy at -20.2 eV/f.u. The energy relative to the elements comes out at -0.422 eV/atom. The crystal system is tetragonal.

12.
Rb2NbTe8: relaxed, PBE.

Cell lengths 15.9661, 8.1264, 7.0670 Å; angles 90.00, 91.17, 90.00 degrees
Closest atoms and distances in Å follow each position.
Space group C2/m (No. 12)
Symmetry-distinct sites (fractional):
Rb 0.1971 0.0000 0.1772 x4  6 Te 3.68-3.94
Nb 0.0000 0.5000 0.5000 x2  6 Te 2.79-2.81
Te 0.0483 0.0000 0.7717 x4  2 Te 2.82
Te 0.0663 0.5000 0.1344 x4  1 Nb 2.81, 1 Te 2.82
Te 0.1233 0.2657 0.5817 x8  1 Nb 2.79, 1 Te 2.82

The density of states at the Fermi level comes out at 16.253 states/eV/cell. The calculation puts the total energy at -41.0 eV/f.u. The crystal system is monoclinic. The raw formation energy is -0.350 eV per atom.

13.
BiSb2S6: relaxed, PBE.

Cell lengths 6.2158, 6.2158, 12.1551 Å; angles 90.00, 90.00, 90.00 degrees
Closest atoms and distances in Å follow each position.
Space group P4_2/mnm (No. 136)
Symmetry-distinct sites (fractional):
Bi 0.0000 0.0000 0.0000 x2  6 S 2.77-2.78
Sb 0.0000 0.0000 0.3332 x4  6 S 2.59-2.63
S 0.1835 0.1835 0.5000 x4  2 Sb 2.59, 1 Bi 2.78
S 0.2008 0.2008 0.1757 x8  2 Sb 2.60-2.63, 1 Bi 2.77

The density of states at the Fermi level comes out at 11.073 states/eV/cell. The calculation puts the total energy at -36.6 eV/f.u. The crystal system is tetragonal. The raw formation energy is 0.027 eV per atom.

14.
Mg6Hg: relaxed, PBE.

Cell lengths 5.0112, 5.0112, 21.4337 Å; angles 90.00, 90.00, 120.00 degrees
Closest atoms and distances in Å follow each position.
Space group R-3m (No. 166, hexagonal axes)
Symmetry-distinct sites (fractional):
Mg 0.0000 0.0000 0.0689 x6  8 Mg 2.95-3.10
Mg 0.0000 0.0000 0.2124 x6  3 Hg 3.05, 5 Mg 3.08-3.12
Mg 0.0000 0.0000 0.3579 x6  7 Mg 3.05-3.12, 1 Hg 3.05
Hg 0.0000 0.0000 0.5000 x3  8 Mg 3.05

The density of states at the Fermi level comes out at 7.627 states/eV/cell. The calculation puts the total energy at -10.2 eV/f.u. The energy relative to the elements comes out at -0.047 eV/atom. The crystal system is trigonal.

15.
InTcPt2Cl: relaxed, PBE.

Cell lengths 4.9742, 4.9742, 5.3758 Å; angles 90.00, 90.00, 90.00 degrees
Closest atoms and distances in Å follow each position.
Space group P4/mmm (No. 123)
Symmetry-distinct sites (fractional):
In 0.0000 0.0000 0.0000 x1  4 Pt 2.49, 2 Tc 2.69
Tc 0.0000 0.0000 0.5000 x1  2 In 2.69
Pt 0.0000 0.5000 0.0000 x2  2 In 2.49
Cl 0.5000 0.5000 0.5000 x1  4 Tc 3.52, 8 Pt 3.66

The density of states at the Fermi level comes out at 5.370 states/eV/cell. The calculation puts the total energy at -19.8 eV/f.u. The crystal system is tetragonal. The raw formation energy is 1.441 eV per atom.

16.
MgTe2Os: relaxed, PBE.

Cell lengths 4.2204, 4.4070, 5.9240 Å; angles 90.00, 91.13, 90.00 degrees
Closest atoms and distances in Å follow each position.
Space group Pm (No. 6)
Symmetry-distinct sites (fractional):
Mg 0.0000 0.0000 0.0000 x1  2 Os 2.79, 6 Te 2.88-3.07
Te 0.4946 0.5000 0.9734 x1  2 Os 2.62
Te 0.9789 0.0000 0.4849 x1  2 Os 2.58, 1 Mg 2.88
Os 0.9870 0.5000 0.7105 x1  4 Te 2.58-2.62, 2 Mg 2.79

The density of states at the Fermi level comes out at 2.835 states/eV/cell. The calculation puts the total energy at -18.7 eV/f.u. The crystal system is monoclinic. The raw formation energy is 0.111 eV per atom.

17.
NaVZn: relaxed, PBE.

Cell lengths 4.9607, 5.9691, 7.7640 Å; angles 90.00, 90.00, 90.00 degrees
Closest atoms and distances in Å follow each position.
Space group Imma (No. 74)
Symmetry-distinct sites (fractional):
Na 0.0000 0.2500 0.1319 x4  6 Zn 3.07-3.22, 2 Na 3.08, 6 V 3.21-3.36
V 0.2500 0.2500 0.7500 x4  2 V 2.48, 4 Zn 2.74
Zn 0.0000 0.0000 0.5000 x4  4 V 2.74, 2 Zn 2.98, 4 Na 3.07

The density of states at the Fermi level comes out at 12.524 states/eV/cell. The calculation puts the total energy at -10.5 eV/f.u. The energy relative to the elements comes out at 0.397 eV/atom. The crystal system is orthorhombic.

18.
TaV3Tc4: relaxed, PBE.

Cell lengths 3.0727, 3.0727, 12.2826 Å; angles 90.00, 90.00, 90.00 degrees
Closest atoms and distances in Å follow each position.
Space group P4/mmm (No. 123)
Symmetry-distinct sites (fractional):
Ta 0.0000 0.0000 0.0000 x1  8 Tc 2.72
V 0.0000 0.0000 0.2557 x2  8 Tc 2.64
V 0.0000 0.0000 0.5000 x1  8 Tc 2.64
Tc 0.5000 0.5000 0.1338 x2  4 V 2.64, 4 Ta 2.72
Tc 0.5000 0.5000 0.3779 x2  8 V 2.64

The density of states at the Fermi level comes out at 4.321 states/eV/cell. The calculation puts the total energy at -83.7 eV/f.u. The energy relative to the elements comes out at -0.373 eV/atom. The crystal system is tetragonal.

19.
Pm3Sm2Ga4: relaxed, PBE.

Cell lengths 8.1824, 8.1916, 7.5097 Å; angles 90.00, 105.76, 90.00 degrees
Closest atoms and distances in Å follow each position.
Space group P2_1/c (No. 14)
Symmetry-distinct sites (fractional):
Pm 0.0000 0.0000 0.0000 x2  6 Ga 3.09-3.31
Pm 0.2645 0.1743 0.7471 x4  6 Ga 2.97-3.20
Sm 0.3131 0.6869 0.9276 x4  5 Ga 3.12-3.32
Ga 0.0145 0.6244 0.1163 x4  1 Ga 2.65
Ga 0.4193 0.0288 0.1350 x4  1 Ga 2.74, 2 Pm 2.97-3.00

The density of states at the Fermi level comes out at 15.384 states/eV/cell. The calculation puts the total energy at -40.5 eV/f.u. The energy relative to the elements comes out at -0.527 eV/atom. The crystal system is monoclinic.

20.
HoLuTcAu: relaxed, PBE.

Cell lengths 6.9176, 6.9176, 6.9176 Å; angles 90.00, 90.00, 90.00 degrees
Closest atoms and distances in Å follow each position.
Space group F-43m (No. 216)
Symmetry-distinct sites (fractional):
Ho 0.0000 0.0000 0.0000 x4  4 Au 3.00, 4 Tc 3.00
Lu 0.0000 0.0000 0.5000 x4  4 Tc 3.00, 4 Au 3.00
Tc 0.2500 0.2500 0.7500 x4  4 Ho 3.00, 4 Lu 3.00
Au 0.2500 0.2500 0.2500 x4  4 Lu 3.00, 4 Ho 3.00

The density of states at the Fermi level comes out at 6.378 states/eV/cell. The calculation puts the total energy at -24.4 eV/f.u. The energy relative to the elements comes out at -0.411 eV/atom. The crystal system is cubic.